## CrCuI2O (PBE+U)

Data for an optimized crystal structure of CrCuI2O.

Computed properties:
Energy, eV per atom: -3.88
Excess energy over the best structure of this formula in the dataset, kJ/mol of formula units: 113
DOS(E_F), states/eV/f.u.: 5.45

The structure in CIF format:
```
data_CrCuI2O
_cell_length_a 5.6830
_cell_length_b 5.6830
_cell_length_c 3.6289
_cell_angle_alpha 90.00
_cell_angle_beta 90.00
_cell_angle_gamma 90.00
_symmetry_space_group_name_H-M 'P 1'
_symmetry_Int_Tables_number 1
loop_
_symmetry_equiv_pos_as_xyz
'x,y,z'
loop_
_atom_site_label
_atom_site_type_symbol
_atom_site_fract_x
_atom_site_fract_y
_atom_site_fract_z
O1 O 0.0000 0.0000 0.5000
Cu1 Cu 0.0000 0.0000 0.0000
I1 I 0.5000 0.0000 0.0000
I2 I 0.0000 0.5000 0.0000
Cr1 Cr 0.5000 0.5000 0.5000
```